Density functional theory data (PBE with a Hubbard U) for crystalline LiNiC2O6 at its relaxed geometry.

Computed properties:
- ρ: 2648 kg/m³
- Uncorrected energy: -6.5215 eV per atom

Geometry as CIF:
```
data_LiNiC2O6
_chemical_formula_sum 'Li2 Ni2 C4 O12'
_symmetry_space_group_name_H-M 'P 1 21 1'
_symmetry_Int_Tables_number 4
_cell_length_a 4.928
_cell_length_b 7.843
_cell_length_c 6.401
_cell_angle_alpha 90.00
_cell_angle_beta 109.75
_cell_angle_gamma 90.00
loop_
_symmetry_equiv_pos_as_xyz
'x,y,z'
'-x,y+1/2,-z'
loop_
_atom_site_label
_atom_site_fract_x
_atom_site_fract_y
_atom_site_fract_z
Li1 0.150 0.000 0.134
Ni1 0.494 0.045 0.740
C1 0.365 0.304 0.902
C2 0.383 0.281 0.392
O1 0.221 0.414 0.366
O2 0.225 0.161 0.886
O3 0.271 0.444 0.959
O4 0.301 0.132 0.438
O5 0.375 0.803 0.641
O6 0.403 0.797 0.150
```